First-principles (GGA-PBE) data for a relaxed structure of BaAsIBr2, as listed in Alexandria.

Unit cell a=5.7897 b=5.7897 c=5.6086 alpha=90.00 beta=90.00 gamma=90.00
Last column: nearest neighbours and their distance in Å.
Positions (direct):
Ba (0.0000, 0.0000, 0.0000)  8 Br 4.03, 4 As 4.09
As (0.5000, 0.5000, 0.0000)  2 I 2.80
I (0.5000, 0.5000, 0.5000)  2 As 2.80, 4 Br 2.89
Br (0.0000, 0.5000, 0.5000)  2 I 2.89
Br (0.5000, 0.0000, 0.5000)  2 I 2.89

Energy above the most stable polymorph in this dataset, meV/atom: 23
Space-group type: P4/mmm, No. 123
Formation energy from raw total energies, eV per atom: -0.34
Fermi-level density of states, states/eV per atom: 0.9341